[1]
A plane-wave DFT calculation with PBE was carried out for crystalline La9Pr2Er at its relaxed geometry.

abc: 5.234 5.234 15.724
angles: 90.00 90.00 90.00
Sites, in units of the cell vectors:
La  0.500  0.500  0.000
La  0.500  0.500  0.332
La  0.500  0.500  0.668
La  0.500  0.000  0.165
La  0.500  0.000  0.500
La  0.500  0.000  0.835
La  0.000  0.500  0.165
La  0.000  0.500  0.500
La  0.000  0.500  0.835
Pr  0.000  0.000  0.332
Pr  0.000  0.000  0.668
Er  0.000  0.000  0.000

As for the density of states at the Fermi level: 18.93 states/eV/cell. The total magnetization is 0.00 μB per formula unit. The calculation puts the calculated total energy at -4.8668 eV per atom. The space group is P4/mmm (123). The energy of formation from the pure elements comes out at 0.01 eV/atom.

=====

[2]
A plane-wave DFT calculation with PBE was carried out for crystalline La5Pr5Er2 at its relaxed geometry.

abc: 5.211 8.297 11.048
angles: 72.57 76.36 71.70
Sites, in units of the cell vectors:
La  0.500  0.500  0.500
La  0.333  0.333  0.001
La  0.419  0.913  0.249
La  0.581  0.087  0.751
La  0.667  0.667  0.999
Pr  0.834  0.831  0.500
Pr  0.253  0.746  0.748
Pr  0.747  0.254  0.252
Pr  0.166  0.169  0.500
Pr  0.000  0.000  0.000
Er  0.916  0.418  0.750
Er  0.084  0.582  0.250

As for the density of states at the Fermi level: 21.13 states/eV/cell. The total magnetization is 0.00 μB per formula unit. The calculation puts the calculated total energy at -4.7855 eV per atom. The space group is C2/m (12). The energy of formation from the pure elements comes out at 0.02 eV/atom.

=====

[3]
A plane-wave DFT calculation with PBE was carried out for crystalline La2Pr4Er5 at its relaxed geometry.

abc: 3.543 9.294 12.689
angles: 111.48 98.03 90.00
Sites, in units of the cell vectors:
La  0.268  0.268  0.535
La  0.732  0.732  0.465
Pr  0.000  0.296  0.000
Pr  0.597  0.597  0.195
Pr  0.000  0.704  0.000
Pr  0.403  0.403  0.805
Er  0.859  0.049  0.719
Er  0.859  0.670  0.719
Er  0.141  0.330  0.281
Er  0.141  0.951  0.281
Er  0.500  0.000  0.000

As for the density of states at the Fermi level: 16.27 states/eV/cell. The total magnetization is 0.00 μB per formula unit. The calculation puts the calculated total energy at -4.4578 eV per atom. For the excess energy over the best structure of this formula in the dataset, the calculation gives 1.902 eV per formula unit. The space group is Immm (71). The energy of formation from the pure elements comes out at 0.25 eV/atom.

=====

[4]
A plane-wave DFT calculation with PBE was carried out for crystalline La12PrEr7 at its relaxed geometry.

abc: 8.857 8.857 8.857
angles: 89.45 89.45 89.45
Sites, in units of the cell vectors:
La  0.853  0.268  0.717
La  0.732  0.283  0.147
La  0.611  0.144  0.482
La  0.856  0.518  0.389
La  0.283  0.147  0.732
La  0.518  0.389  0.856
La  0.482  0.611  0.144
La  0.717  0.853  0.268
La  0.144  0.482  0.611
La  0.389  0.856  0.518
La  0.268  0.717  0.853
La  0.147  0.732  0.283
Pr  0.000  0.000  0.000
Er  0.857  0.623  0.939
Er  0.377  0.061  0.143
Er  0.061  0.143  0.377
Er  0.500  0.500  0.500
Er  0.939  0.857  0.623
Er  0.623  0.939  0.857
Er  0.143  0.377  0.061

As for the density of states at the Fermi level: 34.05 states/eV/cell. The total magnetization is 0.00 μB per formula unit. The calculation puts the calculated total energy at -4.6008 eV per atom. For the excess energy over the best structure of this formula in the dataset, the calculation gives 0.000 eV per formula unit. The space group is R-3 (148). The energy of formation from the pure elements comes out at 0.19 eV/atom.

=====

[5]
A plane-wave DFT calculation with PBE was carried out for crystalline La3Pr2Er at its relaxed geometry.

abc: 3.483 6.919 18.008
angles: 90.00 90.00 90.00
Sites, in units of the cell vectors:
La  0.000  0.000  0.000
La  0.500  0.500  0.500
La  0.500  0.742  0.822
La  0.500  0.258  0.178
La  0.000  0.242  0.678
La  0.000  0.758  0.322
Pr  0.500  0.766  0.152
Pr  0.000  0.266  0.348
Pr  0.000  0.734  0.652
Pr  0.500  0.234  0.848
Er  0.000  0.000  0.500
Er  0.500  0.500  0.000

As for the density of states at the Fermi level: 21.85 states/eV/cell. The total magnetization is 0.00 μB per formula unit. The calculation puts the calculated total energy at -4.5932 eV per atom. For the excess energy over the best structure of this formula in the dataset, the calculation gives 1.221 eV per formula unit. The space group is Pnnm (58). The energy of formation from the pure elements comes out at 0.22 eV/atom.

=====

[6]
A plane-wave DFT calculation with PBE was carried out for crystalline LaPr4Er at its relaxed geometry.

abc: 3.512 6.264 10.399
angles: 88.55 80.28 73.72
Sites, in units of the cell vectors:
La  0.500  0.500  0.500
Pr  0.655  0.537  0.153
Pr  0.345  0.463  0.847
Pr  0.155  0.031  0.659
Pr  0.845  0.969  0.341
Er  0.000  0.000  0.000

As for the density of states at the Fermi level: 11.02 states/eV/cell. The total magnetization is 0.00 μB per formula unit. The calculation puts the calculated total energy at -4.5994 eV per atom. For the excess energy over the best structure of this formula in the dataset, the calculation gives 0.000 eV per formula unit. The space group is C2/m (12). The energy of formation from the pure elements comes out at 0.17 eV/atom.

=====

[7]
A plane-wave DFT calculation with PBE was carried out for crystalline La7PrEr12 at its relaxed geometry.

abc: 9.813 9.813 9.813
angles: 109.47 109.47 109.47
Sites, in units of the cell vectors:
La  0.500  0.000  0.500
La  0.500  0.500  0.000
La  0.000  0.500  0.500
La  0.500  0.500  0.500
La  0.000  0.500  0.000
La  0.000  0.000  0.500
La  0.500  0.000  0.000
Pr  0.000  0.000  0.000
Er  0.751  0.751  0.502
Er  0.751  0.249  0.000
Er  0.249  0.249  0.498
Er  0.249  0.751  0.000
Er  0.000  0.249  0.751
Er  0.502  0.751  0.751
Er  0.000  0.751  0.249
Er  0.498  0.249  0.249
Er  0.751  0.502  0.751
Er  0.249  0.498  0.249
Er  0.249  0.000  0.751
Er  0.751  0.000  0.249

As for the density of states at the Fermi level: 31.45 states/eV/cell. The total magnetization is 0.00 μB per formula unit. The calculation puts the calculated total energy at -4.0827 eV per atom. The space group is Im-3m (229). The energy of formation from the pure elements comes out at 0.62 eV/atom.

=====

[8]
A plane-wave DFT calculation with PBE was carried out for crystalline La4Pr2Er7 at its relaxed geometry.

abc: 6.146 6.146 13.569
angles: 90.00 90.00 120.00
Sites, in units of the cell vectors:
La  0.000  0.000  0.610
La  0.000  0.000  0.390
La  0.667  0.333  0.500
La  0.333  0.667  0.500
Pr  0.667  0.333  0.000
Pr  0.333  0.667  0.000
Er  0.000  0.650  0.789
Er  0.000  0.350  0.211
Er  0.000  0.000  0.000
Er  0.650  0.000  0.789
Er  0.350  0.000  0.211
Er  0.650  0.650  0.211
Er  0.350  0.350  0.789

As for the density of states at the Fermi level: 19.76 states/eV/cell. The total magnetization is 0.00 μB per formula unit. The calculation puts the calculated total energy at -4.5571 eV per atom. The space group is P-31m (162). The energy of formation from the pure elements comes out at 0.15 eV/atom.

=====

[9]
A plane-wave DFT calculation with PBE was carried out for crystalline La9PrEr2 at its relaxed geometry.

abc: 5.210 5.210 15.674
angles: 90.00 90.00 90.00
Sites, in units of the cell vectors:
La  0.500  0.500  0.000
La  0.500  0.500  0.335
La  0.500  0.500  0.665
La  0.500  0.000  0.169
La  0.500  0.000  0.500
La  0.500  0.000  0.831
La  0.000  0.500  0.169
La  0.000  0.500  0.500
La  0.000  0.500  0.831
Pr  0.000  0.000  0.000
Er  0.000  0.000  0.335
Er  0.000  0.000  0.665

As for the density of states at the Fermi level: 17.49 states/eV/cell. The total magnetization is 0.00 μB per formula unit. The calculation puts the calculated total energy at -4.8467 eV per atom. The space group is P4/mmm (123). The energy of formation from the pure elements comes out at 0.01 eV/atom.

=====

Q: Look up the energy of formation from the pure elements of the sixth one.
A: 0.17 eV/atom